# 1
{"formula": "Mn2ReOs", "functional": "PBE", "state": "optimized geometry", "ef_ev_per_atom": 0.13, "spacegroup": "C2/m (12)", "n_ef_per_ev_atom": 1.20, "magnetic_moment_mub_per_cell": 1.78, "crystal_system": "monoclinic", "lattice": [[4.522, 0.001, -0.004], [3.733, 2.553, -0.004], [0.791, 0.245, 4.551]], "species": ["Re", "Os", "Mn", "Mn"], "fractional_positions": [[0.250, 0.250, 0.250], [0.750, 0.750, 0.750], [0.498, 0.498, 0.504], [0.002, 0.002, 0.996]]}


# 2
{"formula": "RbCa2ZnRh", "functional": "PBE", "state": "optimized geometry", "ef_ev_per_atom": -0.10, "spacegroup": "P4/mmm (123)", "n_ef_per_ev_atom": 0.63, "magnetic_moment_mub_per_cell": 0.00, "crystal_system": "tetragonal", "lattice": [[-5.013, -2.071, 1.061], [-1.053, -0.228, -5.421], [1.967, -4.851, -0.178]], "species": ["Ca", "Ca", "Rh", "Rb", "Zn"], "fractional_positions": [[0.000, 0.500, 0.000], [0.500, 0.000, 0.000], [0.000, 0.000, 0.000], [0.500, 0.500, 0.500], [0.000, 0.000, 0.500]]}


# 3
{"formula": "Li2CuPdN", "functional": "PBE", "state": "optimized geometry", "polymorph_energy_ev_per_atom": 0.0887, "e_form_raw_ev_per_atom": -0.0501, "spacegroup": "P4/mmm (123)", "n_ef_per_ev_atom": 0.54, "magnetic_moment_mub_per_cell": 0.00, "crystal_system": "tetragonal", "lattice": [[-1.786, 1.934, -2.809], [-2.880, -2.553, 0.074], [-1.933, 2.262, 2.787]], "species": ["N", "Cu", "Pd", "Li", "Li"], "fractional_positions": [[0.000, 0.000, 0.000], [0.500, 0.500, 0.500], [0.000, 0.000, 0.500], [0.500, 0.000, 0.000], [0.000, 0.500, 0.000]]}


# 4
{"formula": "Ba2Zn6Rh", "functional": "PBE", "state": "optimized geometry", "ef_ev_per_atom": -0.20, "spacegroup": "P-3m1 (164)", "n_ef_per_ev_atom": 0.54, "magnetic_moment_mub_per_cell": 0.00, "crystal_system": "trigonal", "lattice": [[5.841, -0.028, -0.016], [0.030, 6.493, 0.009], [0.030, 3.243, 5.626]], "species": ["Zn", "Zn", "Zn", "Zn", "Zn", "Zn", "Ba", "Ba", "Rh"], "fractional_positions": [[0.676, 0.154, 0.154], [0.324, 0.308, 0.846], [0.676, 0.154, 0.692], [0.324, 0.846, 0.846], [0.676, 0.692, 0.154], [0.324, 0.846, 0.308], [0.830, 0.667, 0.667], [0.170, 0.333, 0.333], [0.000, 0.000, 0.000]]}


# 5
{"formula": "KLaEuSbO6", "functional": "PBE", "state": "optimized geometry", "polymorph_energy_ev_per_atom": 0.0000, "e_form_raw_ev_per_atom": -2.3141, "spacegroup": "Pc (7)", "n_ef_per_ev_atom": 1.33, "magnetic_moment_mub_per_cell": 11.97, "crystal_system": "monoclinic", "lattice": [[6.127, 0.000, 0.000], [0.000, 5.910, -0.009], [0.000, 5.827, 8.448]], "species": ["O", "O", "O", "O", "O", "O", "O", "O", "O", "O", "O", "O", "K", "K", "La", "La", "Sb", "Sb", "Eu", "Eu"], "fractional_positions": [[0.529, 0.710, 0.541], [0.303, 0.203, 0.230], [0.969, 0.594, 0.063], [0.471, 0.710, 0.041], [0.081, 0.281, 0.939], [0.031, 0.594, 0.563], [0.225, 0.854, 0.778], [0.775, 0.854, 0.278], [0.697, 0.203, 0.730], [0.503, 0.340, 0.947], [0.919, 0.281, 0.439], [0.497, 0.340, 0.447], [0.229, 0.744, 0.251], [0.771, 0.744, 0.751], [0.773, 0.000, 0.001], [0.227, 0.000, 0.501], [0.250, 0.502, 0.999], [0.750, 0.502, 0.499], [0.316, 0.272, 0.751], [0.684, 0.272, 0.251]]}


# 6
{"formula": "Nd7YTm12", "functional": "PBE", "state": "optimized geometry", "polymorph_energy_ev_per_atom": 0.4291, "ef_ev_per_atom": 0.66, "spacegroup": "Im-3m (229)", "n_ef_per_ev_atom": 1.46, "magnetic_moment_mub_per_cell": 0.00, "crystal_system": "cubic", "lattice": [[9.154, 0.000, -3.236], [-4.577, 7.927, -3.236], [0.000, 0.000, 9.709]], "species": ["Tm", "Tm", "Tm", "Tm", "Tm", "Tm", "Tm", "Tm", "Tm", "Tm", "Tm", "Tm", "Nd", "Nd", "Nd", "Nd", "Nd", "Nd", "Nd", "Y"], "fractional_positions": [[0.752, 0.000, 0.247], [0.495, 0.247, 0.248], [0.247, 0.248, 0.495], [0.752, 0.505, 0.753], [0.505, 0.753, 0.752], [0.000, 0.753, 0.248], [0.000, 0.247, 0.752], [0.248, 0.000, 0.753], [0.753, 0.248, 0.000], [0.247, 0.752, 0.000], [0.753, 0.752, 0.505], [0.248, 0.495, 0.247], [0.500, 0.500, 0.500], [0.000, 0.500, 0.000], [0.500, 0.000, 0.500], [0.500, 0.500, 0.000], [0.000, 0.500, 0.500], [0.500, 0.000, 0.000], [0.000, 0.000, 0.500], [0.000, 0.000, 0.000]]}


# 7
{"formula": "Re4BW", "functional": "PBE", "state": "optimized geometry", "ef_ev_per_atom": 0.06, "spacegroup": "P-1 (2)", "n_ef_per_ev_atom": 0.66, "magnetic_moment_mub_per_cell": 0.00, "crystal_system": "triclinic", "lattice": [[-4.060, 2.620, -1.024], [3.221, 0.569, -4.657], [-2.903, -5.991, -0.075]], "species": ["B", "B", "Re", "Re", "Re", "Re", "Re", "Re", "Re", "Re", "W", "W"], "fractional_positions": [[0.824, 0.008, 0.030], [0.176, 0.992, 0.970], [0.878, 0.594, 0.797], [0.917, 0.101, 0.736], [0.685, 0.143, 0.376], [0.083, 0.899, 0.264], [0.122, 0.406, 0.203], [0.560, 0.288, 0.992], [0.440, 0.712, 0.008], [0.315, 0.857, 0.624], [0.698, 0.635, 0.411], [0.302, 0.365, 0.589]]}


# 8
{"formula": "CePm3Pb3", "functional": "PBE", "state": "optimized geometry", "ef_ev_per_atom": -0.32, "spacegroup": "C2/m (12)", "n_ef_per_ev_atom": 1.52, "magnetic_moment_mub_per_cell": 2.24, "crystal_system": "monoclinic", "lattice": [[6.812, 0.798, 0.310], [-2.320, 6.454, 0.310], [-0.403, -0.651, 9.688]], "species": ["Ce", "Ce", "Pm", "Pm", "Pm", "Pm", "Pm", "Pm", "Pb", "Pb", "Pb", "Pb", "Pb", "Pb"], "fractional_positions": [[0.708, 0.708, 0.980], [0.292, 0.292, 0.020], [0.443, 0.443, 0.691], [0.223, 0.777, 0.000], [0.809, 0.191, 0.500], [0.191, 0.809, 0.500], [0.777, 0.223, 0.000], [0.557, 0.557, 0.309], [0.483, 0.030, 0.256], [0.030, 0.483, 0.256], [0.970, 0.517, 0.744], [0.965, 0.965, 0.241], [0.035, 0.035, 0.759], [0.517, 0.970, 0.744]]}